Dy2IrRh: PBEsol geometry, SCAN.

Lattice parameters (Å, degrees): 4.7672 4.7672 4.7672 60.00 60.00 60.00
Fractional coordinates of all 4 atoms:
Dy  0.7500  0.7500  0.7500
Dy  0.2500  0.2500  0.2500
Rh  0.0000  0.0000  0.0000
Ir  0.5000  0.5000  0.5000

D(E_F) = 0.38 states/eV/atom
VASP energy = -204.59 eV per cell